Record 1
Ac3CuPd6Pb2 | GGA-PBE | relaxed

Cell lengths 6.0193, 6.0193, 9.0410 Å; angles 90.00, 90.00, 120.00 degrees
Fractional positions:
Pd: 0.8294 0.1706 0.7049
Pd: 0.8294 0.6588 0.7049
Pd: 0.1706 0.3412 0.2951
Pd: 0.1706 0.8294 0.2951
Pd: 0.6588 0.8294 0.2951
Pd: 0.3412 0.1706 0.7049
Ac: 0.6667 0.3333 0.3799
Ac: 0.3333 0.6667 0.6201
Ac: 0.0000 0.0000 0.0000
Pb: 0.3333 0.6667 0.0357
Pb: 0.6667 0.3333 0.9643
Cu: 0.0000 0.0000 0.5000

Computed properties:
Raw total energy, eV for the cell shown: -62.43
M_tot, μB per cell: 0.00
E_form, eV per atom: -0.62

Record 2
Ca2La15Tm2 | GGA-PBE | relaxed

Cell lengths 9.0692, 9.0692, 9.0692 Å; angles 80.94, 80.94, 80.94 degrees
Fractional positions:
La: 0.0000 0.0000 0.5000
La: 0.3626 0.8517 0.3626
La: 0.2917 0.7083 0.0000
La: 0.2917 0.0000 0.7083
La: 0.6374 0.1483 0.6374
La: 0.5000 0.0000 0.0000
La: 0.7083 0.0000 0.2917
La: 0.1483 0.6374 0.6374
La: 0.6374 0.6374 0.1483
La: 0.8517 0.3626 0.3626
La: 0.3626 0.3626 0.8517
La: 0.0000 0.5000 0.0000
La: 0.0000 0.2917 0.7083
La: 0.7083 0.2917 0.0000
La: 0.0000 0.7083 0.2917
Tm: 0.0950 0.0950 0.0950
Tm: 0.9050 0.9050 0.9050
Ca: 0.6717 0.6717 0.6717
Ca: 0.3283 0.3283 0.3283

Computed properties:
Raw total energy, eV for the cell shown: -83.26
M_tot, μB per cell: 0.00
E_form, eV per atom: 0.19

Record 3
Sc2CrHPd | GGA-PBE | relaxed

Cell lengths 4.5399, 4.5399, 3.5320 Å; angles 90.00, 90.00, 90.00 degrees
Fractional positions:
Pd: 0.5000 0.5000 0.5000
Cr: 0.0000 0.0000 0.5000
Sc: 0.5000 0.0000 0.0000
Sc: 0.0000 0.5000 0.0000
H: 0.0000 0.0000 0.0000

Computed properties:
Relative energy among the computed polymorphs, eV/f.u.: 0.00
Raw total energy, eV for the cell shown: -32.62
M_tot, μB per cell: 2.15

Record 4
Ca2WBr | GGA-PBE | relaxed

Cell lengths 8.0522, 8.0522, 6.8606 Å; angles 54.07, 54.07, 90.00 degrees
Fractional positions:
Ca: 0.6070 0.1250 0.2500
Ca: 0.3750 0.3930 0.7500
Ca: 0.1430 0.6250 0.2500
Ca: 0.8750 0.8570 0.7500
W: 0.7500 0.2500 0.5000
W: 0.0000 0.0000 0.0000
Br: 0.5000 0.5000 0.0000
Br: 0.2500 0.7500 0.5000

Computed properties:
Formation energy from raw total energies, meV/atom: 659
Relative energy among the computed polymorphs, eV/f.u.: 2.54
Raw total energy, eV for the cell shown: -31.98
M_tot, μB per cell: 8.34

Record 5
KSrAs2 | GGA-PBE | relaxed

Cell lengths 5.7133, 5.7133, 5.7133 Å; angles 129.76, 129.78, 73.78 degrees
Fractional positions:
Sr: 0.2500 0.7500 0.5000
As: 0.5000 0.5000 0.0000
As: 0.0000 0.0000 0.0000
K: 0.7500 0.2500 0.5000

Computed properties:
Relative energy among the computed polymorphs, eV/f.u.: 0.89
Raw total energy, eV for the cell shown: -14.01
M_tot, μB per cell: 0.00
E_form, eV per atom: -0.48

Record 6
Li2MgCd | GGA-PBE | relaxed

Cell lengths 4.7231, 2.9886, 5.6218 Å; angles 79.74, 90.00, 90.00 degrees
Fractional positions:
Cd: 0.5000 0.7714 0.7696
Li: 0.0000 0.0689 0.9945
Li: 0.5000 0.1704 0.2456
Mg: 0.0000 0.4893 0.4903

Computed properties:
Relative energy among the computed polymorphs, eV/f.u.: 0.12
Raw total energy, eV for the cell shown: -6.93
M_tot, μB per cell: 0.00
E_form, eV per atom: -0.15

Which of these has the lowest raw total energy?
Ca2La15Tm2